An optimized crystal structure of K2TlHgSb2, computed with PBE. Values from VASP.

Computed properties:
Space-group type   No. 72
Theoretical density   5.7 g cm⁻³
M_tot   0.00 μB per cell
Formation energy from raw total energies   -0.301 eV/atom
Volume   35.5 Å³/atom

```
&SYSTEM
  ibrav = 0, nat = 12, ntyp = 4
/
ATOMIC_SPECIES
K 39.10 K.upf
Tl 204.38 Tl.upf
Hg 200.59 Hg.upf
Sb 121.76 Sb.upf
CELL_PARAMETERS angstrom
-3.6537 7.9736 3.6599
3.6537 -7.9736 3.6599
3.6537 7.9736 -3.6599
ATOMIC_POSITIONS angstrom
K 1.7894 2.6218 0.0000
K 1.7894 -2.6218 3.6599
K 1.8643 10.5953 0.0000
K 1.8643 5.3518 3.6599
Tl 3.6537 0.0000 1.8300
Tl 0.0000 7.9736 1.8300
Hg 0.0000 0.0000 1.8300
Hg 0.0000 0.0000 5.4899
Sb 5.5561 1.6827 0.0000
Sb 1.9024 6.2909 0.0000
Sb 1.7514 1.6827 3.6599
Sb -1.9024 6.2909 3.6599
```

***

An optimized crystal structure of KVHgSb2, computed with PBE. Values from VASP.

Computed properties:
Space-group type   No. 123
Theoretical density   6.1 g cm⁻³
M_tot   0.62 μB per cell
Formation energy from raw total energies   -0.071 eV/atom
Volume   29.3 Å³/atom

```
&SYSTEM
  ibrav = 0, nat = 5, ntyp = 4
/
ATOMIC_SPECIES
K 39.10 K.upf
V 50.94 V.upf
Hg 200.59 Hg.upf
Sb 121.76 Sb.upf
CELL_PARAMETERS angstrom
5.1565 0.0000 0.0000
0.0000 5.1565 0.0000
0.0000 0.0000 5.5092
ATOMIC_POSITIONS angstrom
K 0.0000 0.0000 0.0000
V 2.5782 2.5782 2.7546
Hg 2.5782 2.5782 0.0000
Sb 0.0000 2.5782 2.7546
Sb 2.5782 0.0000 2.7546
```

***

An optimized crystal structure of K2Zn3HgSb4, computed with PBE. Values from VASP.

Computed properties:
Space-group type   No. 115
Theoretical density   5.8 g cm⁻³
M_tot   0.00 μB per cell
Formation energy from raw total energies   -0.214 eV/atom
Volume   27.8 Å³/atom

```
&SYSTEM
  ibrav = 0, nat = 10, ntyp = 4
/
ATOMIC_SPECIES
K 39.10 K.upf
Zn 65.41 Zn.upf
Hg 200.59 Hg.upf
Sb 121.76 Sb.upf
CELL_PARAMETERS angstrom
4.9777 0.0000 0.0000
0.0000 4.9777 0.0000
0.0000 0.0000 11.2023
ATOMIC_POSITIONS angstrom
K 0.0000 2.4888 2.7653
K 2.4888 0.0000 8.4370
Zn 0.0000 0.0000 0.0000
Zn 0.0000 2.4888 7.0035
Zn 2.4888 0.0000 4.1989
Hg 2.4888 2.4888 0.0000
Sb 0.0000 0.0000 5.6012
Sb 0.0000 2.4888 9.6869
Sb 2.4888 0.0000 1.5154
Sb 2.4888 2.4888 5.6012
```

***

An optimized crystal structure of K2ScHg2, computed with PBE. Values from VASP.

Computed properties:
Energy relative to the elements   245 meV per atom
Space-group type   No. 127
Theoretical density   5.4 g cm⁻³
M_tot   1.45 μB per cell
Relative energy among the computed polymorphs   1.19 eV per formula unit
Volume   32.2 Å³/atom

```
&SYSTEM
  ibrav = 0, nat = 10, ntyp = 3
/
ATOMIC_SPECIES
K 39.10 K.upf
Sc 44.96 Sc.upf
Hg 200.59 Hg.upf
CELL_PARAMETERS angstrom
9.6288 0.0000 0.0000
0.0000 9.6288 0.0000
0.0000 0.0000 3.4730
ATOMIC_POSITIONS angstrom
K 1.2176 3.5968 0.0000
K 3.5968 8.4112 0.0000
K 6.0320 1.2176 0.0000
K 8.4112 6.0320 0.0000
Sc 0.0000 0.0000 0.0000
Sc 4.8144 4.8144 0.0000
Hg 1.6996 6.5140 1.7365
Hg 3.1148 1.6996 1.7365
Hg 6.5140 7.9292 1.7365
Hg 7.9292 3.1148 1.7365
```

***

Which formula does entry 2 have?
KVHgSb2

***

What is the formula in the second record?
KVHgSb2

***

Copy entry 2 word for word.
An optimized crystal structure of KVHgSb2, computed with PBE. Values from VASP.

Computed properties:
Space-group type   No. 123
Theoretical density   6.1 g cm⁻³
M_tot   0.62 μB per cell
Formation energy from raw total energies   -0.071 eV/atom
Volume   29.3 Å³/atom

```
&SYSTEM
  ibrav = 0, nat = 5, ntyp = 4
/
ATOMIC_SPECIES
K 39.10 K.upf
V 50.94 V.upf
Hg 200.59 Hg.upf
Sb 121.76 Sb.upf
CELL_PARAMETERS angstrom
5.1565 0.0000 0.0000
0.0000 5.1565 0.0000
0.0000 0.0000 5.5092
ATOMIC_POSITIONS angstrom
K 0.0000 0.0000 0.0000
V 2.5782 2.5782 2.7546
Hg 2.5782 2.5782 0.0000
Sb 0.0000 2.5782 2.7546
Sb 2.5782 0.0000 2.7546
```